PmTm2In | GGA-PBE | relaxed

Lattice parameters (Å, degrees): 4.8180 4.8581 4.8581 90.00 90.00 90.00
Last column: nearest neighbours and their distance in Å.
Positions (direct):
1 Tm 0.0000 0.0000 0.5000  4 In 3.42, 4 Pm 3.42, 4 Tm 3.44
2 Tm 0.0000 0.5000 0.0000  4 Pm 3.42, 4 In 3.42, 4 Tm 3.44
3 In 0.5000 0.0000 0.0000  8 Tm 3.42, 4 Pm 3.44
4 Pm 0.5000 0.5000 0.5000  8 Tm 3.42, 4 In 3.44

ρ = 8.73 g/cm3
energy relative to the elements = -0.2587 eV per atom
relative energy among the computed polymorphs = 0 meV/atom
uncorrected energy = -4.37 eV/atom
space group = P4/mmm (123)
total magnetic moment = 0.00 μB per formula unit

***

PmTm6In6 | GGA-PBE | relaxed

Lattice parameters (Å, degrees): 6.1929 6.1929 10.6759 90.00 90.00 119.99
Last column: nearest neighbours and their distance in Å.
Positions (direct):
1 Pm 0.0000 0.0000 0.0000  8 Tm 3.58-3.66
2 Tm 0.0000 0.0000 0.6572  6 In 3.27, 1 Tm 3.36
3 Tm 0.0000 0.0000 0.3428  6 In 3.27, 1 Tm 3.36
4 Tm 0.3333 0.6667 0.0000  6 In 3.17
5 Tm 0.6667 0.3333 0.0000  6 In 3.17
6 Tm 0.3333 0.6667 0.5000  6 In 3.25, 3 Tm 3.58
7 Tm 0.6667 0.3333 0.5000  6 In 3.25, 3 Tm 3.58
8 In 0.0000 0.5000 0.7547  4 In 3.10, 6 Tm 3.17-3.27
9 In 0.5000 0.0000 0.7547  4 In 3.10, 6 Tm 3.17-3.27
10 In 0.5000 0.5000 0.7547  4 In 3.10, 6 Tm 3.17-3.27
11 In 0.5000 0.0000 0.2453  4 In 3.10, 6 Tm 3.17-3.27
12 In 0.0000 0.5000 0.2453  4 In 3.10, 6 Tm 3.17-3.27
13 In 0.5000 0.5000 0.2453  4 In 3.10, 6 Tm 3.17-3.27

ρ = 8.65 g/cm3
energy relative to the elements = -0.3114 eV per atom
uncorrected energy = -4.00 eV/atom
space group = P6/mmm (191)
total magnetic moment = 0.00 μB per formula unit

***

Pm5TmIn2 | GGA-PBE | relaxed

Lattice parameters (Å, degrees): 4.9186 6.9797 13.9645 90.00 90.00 90.00
Last column: nearest neighbours and their distance in Å.
Positions (direct):
1 Pm 0.0000 0.0000 0.0000  6 Pm 3.47-3.53, 4 In 3.48, 2 Tm 3.49
2 Pm 0.0000 0.5000 0.5000  6 Pm 3.47-3.53, 4 In 3.48, 2 Tm 3.49
3 Pm 0.0000 0.4998 0.7530  1 Tm 3.45, 4 In 3.47-3.53, 7 Pm 3.47-3.53
4 Pm 0.0000 0.5002 0.2470  1 Tm 3.45, 4 In 3.47-3.53, 7 Pm 3.47-3.53
5 Pm 0.0000 0.0002 0.2530  1 Tm 3.45, 4 In 3.47-3.53, 7 Pm 3.47-3.53
6 Pm 0.0000 0.9998 0.7470  1 Tm 3.45, 4 In 3.47-3.53, 7 Pm 3.47-3.53
7 Pm 0.5000 0.2495 0.8763  4 In 3.44-3.54, 6 Pm 3.47-3.51, 2 Tm 3.48
8 Pm 0.5000 0.7505 0.1237  4 In 3.44-3.54, 6 Pm 3.47-3.51, 2 Tm 3.48
9 Pm 0.5000 0.2505 0.3763  4 In 3.44-3.54, 6 Pm 3.47-3.51, 2 Tm 3.48
10 Pm 0.5000 0.7495 0.6237  4 In 3.44-3.54, 6 Pm 3.47-3.51, 2 Tm 3.48
11 Tm 0.0000 0.0000 0.5000  8 Pm 3.45-3.49, 4 In 3.46
12 Tm 0.0000 0.5000 0.0000  8 Pm 3.45-3.49, 4 In 3.46
13 In 0.5000 0.2463 0.6230  10 Pm 3.44-3.54, 2 Tm 3.46
14 In 0.5000 0.7537 0.3770  10 Pm 3.44-3.54, 2 Tm 3.46
15 In 0.5000 0.2537 0.1230  10 Pm 3.44-3.54, 2 Tm 3.46
16 In 0.5000 0.7463 0.8770  10 Pm 3.44-3.54, 2 Tm 3.46

ρ = 7.78 g/cm3
energy relative to the elements = -0.2720 eV per atom
relative energy among the computed polymorphs = 0 meV/atom
uncorrected energy = -4.48 eV/atom
space group = Pbam (55)
total magnetic moment = 0.00 μB per formula unit

***

Pm6TmIn5 | GGA-PBE | relaxed

Lattice parameters (Å, degrees): 5.0373 9.0589 9.2059 119.47 105.87 90.01
Last column: nearest neighbours and their distance in Å.
Positions (direct):
1 Tm 0.0000 0.0000 0.0000  4 In 3.42, 8 Pm 3.48-3.51
2 In 0.6524 0.1524 0.3047  8 Pm 3.34-3.46, 2 Tm 3.42, 2 In 3.67
3 In 0.3277 0.3277 0.6554  8 Pm 3.32-3.37, 4 In 3.64-3.67
4 In 0.0000 0.5000 0.0000  8 Pm 3.29-3.38, 4 In 3.64
5 In 0.6723 0.6723 0.3446  8 Pm 3.32-3.37, 4 In 3.64-3.67
6 In 0.3476 0.8476 0.6953  8 Pm 3.34-3.46, 2 Tm 3.42, 2 In 3.67
7 Pm 0.8295 0.5690 0.6589  7 In 3.32-3.46, 4 Pm 3.50-3.62, 1 Tm 3.51
8 Pm 0.8294 0.0899 0.6589  7 In 3.32-3.46, 4 Pm 3.50-3.62, 1 Tm 3.51
9 Pm 0.5000 0.7342 0.0000  6 In 3.29-3.37, 2 Tm 3.48, 4 Pm 3.62
10 Pm 0.5000 0.2658 0.0000  6 In 3.29-3.37, 2 Tm 3.48, 4 Pm 3.62
11 Pm 0.1706 0.9101 0.3411  7 In 3.32-3.46, 4 Pm 3.50-3.62, 1 Tm 3.51
12 Pm 0.1705 0.4310 0.3411  7 In 3.32-3.46, 4 Pm 3.50-3.62, 1 Tm 3.51

ρ = 7.71 g/cm3
energy relative to the elements = -0.3964 eV per atom
uncorrected energy = -4.29 eV/atom
space group = Immm (71)
total magnetic moment = 0.00 μB per formula unit

***

Pm5Tm2In | GGA-PBE | relaxed

Lattice parameters (Å, degrees): 3.4560 11.2414 8.7671 129.87 101.38 90.00
Last column: nearest neighbours and their distance in Å.
Positions (direct):
1 Pm 0.0000 0.5000 0.0000  10 Pm 3.46-3.59, 2 Tm 3.50
2 Pm 0.6296 0.3945 0.2601  1 Tm 3.25, 7 Pm 3.38-3.59
3 Pm 0.3704 0.6055 0.7399  1 Tm 3.25, 7 Pm 3.38-3.59
4 Pm 0.6296 0.8657 0.2601  1 Tm 3.25, 7 Pm 3.38-3.59
5 Pm 0.3704 0.1343 0.7399  1 Tm 3.25, 7 Pm 3.38-3.59
6 Tm 0.2686 0.7689 0.5378  3 Pm 3.25-3.50, 2 Tm 3.46, 2 In 3.47
7 Tm 0.7314 0.2311 0.4622  3 Pm 3.25-3.50, 2 Tm 3.46, 2 In 3.47
8 In 0.0000 0.0000 0.0000  2 In 3.46, 4 Tm 3.47, 8 Pm 3.83

ρ = 7.74 g/cm3
energy relative to the elements = -0.0312 eV per atom
uncorrected energy = -4.46 eV/atom
space group = Immm (71)
total magnetic moment = 0.00 μB per formula unit

***

PmTm2In3 | GGA-PBE | relaxed

Lattice parameters (Å, degrees): 3.7284 3.7284 11.4873 90.00 90.00 90.00
Last column: nearest neighbours and their distance in Å.
Positions (direct):
1 Pm 0.5000 0.5000 0.5000  8 In 3.34, 4 Pm 3.73
2 Tm 0.5000 0.5000 0.8390  8 In 3.22
3 Tm 0.5000 0.5000 0.1610  8 In 3.22
4 In 0.0000 0.0000 0.0000  8 Tm 3.22
5 In 0.0000 0.0000 0.6785  4 Tm 3.22, 4 Pm 3.34
6 In 0.0000 0.0000 0.3215  4 Tm 3.22, 4 Pm 3.34

ρ = 8.60 g/cm3
energy relative to the elements = -0.4512 eV per atom
uncorrected energy = -4.10 eV/atom
space group = P4/mmm (123)
total magnetic moment = 0.00 μB per formula unit

***

PmTm6In2 | GGA-PBE | relaxed

Lattice parameters (Å, degrees): 3.7007 6.5418 11.7703 74.93 80.96 73.57
Last column: nearest neighbours and their distance in Å.
Positions (direct):
1 Pm 0.0000 0.0000 0.0000  4 In 3.24
2 Tm 0.6855 0.5033 0.1256  2 In 3.24, 5 Tm 3.47-3.54
3 Tm 0.3145 0.4967 0.8744  2 In 3.24, 5 Tm 3.47-3.54
4 Tm 0.3106 0.7976 0.5813  2 In 3.23, 8 Tm 3.36-3.57
5 Tm 0.9874 0.6783 0.3468  2 In 3.19, 7 Tm 3.45-3.57
6 Tm 0.0126 0.3217 0.6532  2 In 3.19, 7 Tm 3.45-3.57
7 Tm 0.6894 0.2024 0.4187  2 In 3.23, 8 Tm 3.36-3.57
8 In 0.3545 0.0743 0.2167  6 Tm 3.19-3.24, 2 Pm 3.24
9 In 0.6455 0.9257 0.7833  6 Tm 3.19-3.24, 2 Pm 3.24

ρ = 8.77 g/cm3
energy relative to the elements = -0.1948 eV per atom
uncorrected energy = -4.31 eV/atom
space group = C2/m (12)
total magnetic moment = 0.00 μB per formula unit

***

PmTmIn | GGA-PBE | relaxed

Lattice parameters (Å, degrees): 4.8278 4.8278 7.9221 90.00 90.00 90.00
Last column: nearest neighbours and their distance in Å.
Positions (direct):
1 Pm 0.0000 0.5000 0.6963  4 In 3.41, 5 Tm 3.44-3.50
2 Pm 0.5000 0.0000 0.3037  4 In 3.41, 5 Tm 3.44-3.50
3 In 0.5000 0.5000 0.0000  4 Tm 3.14, 4 Pm 3.41, 4 In 3.41
4 In 0.0000 0.0000 0.0000  4 Tm 3.14, 4 Pm 3.41, 4 In 3.41
5 Tm 0.5000 0.0000 0.7461  4 In 3.14, 5 Pm 3.44-3.50
6 Tm 0.0000 0.5000 0.2539  4 In 3.14, 5 Pm 3.44-3.50

ρ = 7.71 g/cm3
energy relative to the elements = -0.0931 eV per atom
relative energy among the computed polymorphs = 248 meV/atom
uncorrected energy = -4.08 eV/atom
space group = P4/nmm (129)
total magnetic moment = 0.29 μB per formula unit

***

Pm2Tm3In | GGA-PBE | relaxed

Lattice parameters (Å, degrees): 5.0902 9.3284 9.3284 110.97 105.85 105.85
Last column: nearest neighbours and their distance in Å.
Positions (direct):
1 Pm 0.2500 0.9256 0.0744  4 Pm 3.42-3.43, 8 Tm 3.56-3.73
2 Pm 0.2500 0.2243 0.7757  2 Pm 3.43, 8 Tm 3.46-3.57, 2 In 3.65
3 Pm 0.7500 0.0744 0.9256  4 Pm 3.42-3.43, 8 Tm 3.56-3.73
4 Pm 0.7500 0.7757 0.2243  2 Pm 3.43, 8 Tm 3.46-3.57, 2 In 3.65
5 Tm 0.0436 0.2143 0.3729  3 In 3.21-3.42, 2 Pm 3.52-3.57, 2 Tm 3.53
6 Tm 0.5436 0.3729 0.2143  3 In 3.21-3.42, 2 Pm 3.52-3.57, 2 Tm 3.53
7 Tm 0.0000 0.5000 0.0000  2 In 3.21, 6 Pm 3.46-3.56
8 Tm 0.9564 0.7857 0.6271  3 In 3.21-3.42, 2 Pm 3.52-3.57, 2 Tm 3.53
9 Tm 0.5000 0.0000 0.5000  2 In 3.21, 6 Pm 3.46-3.56
10 Tm 0.4564 0.6271 0.7857  3 In 3.21-3.42, 2 Pm 3.52-3.57, 2 Tm 3.53
11 In 0.2500 0.6053 0.3947  8 Tm 3.21-3.42
12 In 0.7500 0.3947 0.6053  8 Tm 3.21-3.42

ρ = 8.35 g/cm3
energy relative to the elements = -0.1345 eV per atom
relative energy among the computed polymorphs = 14 meV/atom
uncorrected energy = -4.41 eV/atom
space group = Imma (74)
total magnetic moment = 0.00 μB per formula unit

***

Pm3Tm2In | GGA-PBE | relaxed

Lattice parameters (Å, degrees): 6.8145 6.4656 9.2647 99.23 111.58 90.00
Last column: nearest neighbours and their distance in Å.
Positions (direct):
1 Pm 0.7812 0.2500 0.0000  4 In 3.27-3.49, 2 Tm 3.38, 2 Pm 3.49
2 Pm 0.2188 0.7500 0.0000  4 In 3.27-3.49, 2 Tm 3.38, 2 Pm 3.49
3 Pm 0.0516 0.0377 0.3373  5 Tm 3.35-3.56, 1 In 3.39, 4 Pm 3.44-3.61
4 Pm 0.7143 0.4623 0.6627  5 Tm 3.35-3.56, 1 In 3.39, 4 Pm 3.44-3.61
5 Pm 0.2857 0.5377 0.3373  5 Tm 3.35-3.56, 1 In 3.39, 4 Pm 3.44-3.61
6 Pm 0.9484 0.9623 0.6627  5 Tm 3.35-3.56, 1 In 3.39, 4 Pm 3.44-3.61
7 Tm 0.7689 0.5673 0.3232  1 In 3.28, 6 Pm 3.35-3.56, 2 Tm 3.55
8 Tm 0.5542 0.0673 0.3232  1 In 3.28, 6 Pm 3.35-3.56, 2 Tm 3.55
9 Tm 0.4458 0.9327 0.6768  1 In 3.28, 6 Pm 3.35-3.56, 2 Tm 3.55
10 Tm 0.2311 0.4327 0.6768  1 In 3.28, 6 Pm 3.35-3.56, 2 Tm 3.55
11 In 0.7065 0.7500 0.0000  6 Pm 3.27-3.49, 2 Tm 3.28
12 In 0.2935 0.2500 0.0000  6 Pm 3.27-3.49, 2 Tm 3.28

ρ = 7.88 g/cm3
energy relative to the elements = -0.1025 eV per atom
relative energy among the computed polymorphs = 55 meV/atom
uncorrected energy = -4.42 eV/atom
space group = C2/c (15)
total magnetic moment = 0.00 μB per formula unit

***

Pm4Tm3In4 | GGA-PBE | relaxed

Lattice parameters (Å, degrees): 3.5843 9.4047 10.9022 115.55 99.46 90.00
Last column: nearest neighbours and their distance in Å.
Positions (direct):
1 Pm 0.3390 0.1629 0.6781  4 In 3.27-3.30, 3 Pm 3.31-3.58
2 Pm 0.6610 0.4848 0.3219  4 In 3.27-3.30, 3 Pm 3.31-3.58
3 Pm 0.6610 0.8371 0.3219  4 In 3.27-3.30, 3 Pm 3.31-3.58
4 Pm 0.3390 0.5152 0.6781  4 In 3.27-3.30, 3 Pm 3.31-3.58
5 Tm 0.0936 0.0936 0.1872  6 In 3.10-3.27
6 Tm 0.9064 0.9064 0.8128  6 In 3.10-3.27
7 Tm 0.0000 0.5000 0.0000  4 In 3.20
8 In 0.2757 0.7757 0.5515  2 Tm 3.10, 6 Pm 3.28-3.30
9 In 0.7243 0.2243 0.4485  2 Tm 3.10, 6 Pm 3.28-3.30
10 In 0.5000 0.7818 0.0000  6 Tm 3.20-3.27, 2 Pm 3.27
11 In 0.5000 0.2182 0.0000  6 Tm 3.20-3.27, 2 Pm 3.27

ρ = 7.87 g/cm3
energy relative to the elements = -0.3019 eV per atom
uncorrected energy = -4.24 eV/atom
space group = Immm (71)
total magnetic moment = 0.00 μB per formula unit

***

PmTm3In3 | GGA-PBE | relaxed

Lattice parameters (Å, degrees): 9.2683 9.2683 9.2683 90.00 90.00 90.00
Last column: nearest neighbours and their distance in Å.
Positions (direct):
1 Pm 0.0494 0.5494 0.9506  6 In 3.30-3.57, 4 Tm 3.49-3.51
2 Pm 0.9506 0.0494 0.5494  6 In 3.30-3.57, 4 Tm 3.49-3.51
3 Pm 0.4506 0.4506 0.4506  6 In 3.30-3.57, 4 Tm 3.49-3.51
4 Pm 0.5494 0.9506 0.0494  6 In 3.30-3.57, 4 Tm 3.49-3.51
5 Tm 0.8318 0.3318 0.1682  6 In 3.11-3.20, 1 Tm 3.44
6 Tm 0.8824 0.8824 0.8824  6 In 3.16-3.28, 1 Tm 3.44, 3 Pm 3.51
7 Tm 0.8009 0.6991 0.3009  6 In 3.12-3.31
8 Tm 0.1682 0.8318 0.3318  6 In 3.11-3.20, 1 Tm 3.44
9 Tm 0.1991 0.1991 0.1991  6 In 3.12-3.31
10 Tm 0.3009 0.8009 0.6991  6 In 3.12-3.31
11 Tm 0.1176 0.3824 0.6176  6 In 3.16-3.28, 1 Tm 3.44, 3 Pm 3.51
12 Tm 0.3318 0.1682 0.8318  6 In 3.11-3.20, 1 Tm 3.44
13 Tm 0.6991 0.3009 0.8009  6 In 3.12-3.31
14 Tm 0.6682 0.6682 0.6682  6 In 3.11-3.20, 1 Tm 3.44
15 Tm 0.6176 0.1176 0.3824  6 In 3.16-3.28, 1 Tm 3.44, 3 Pm 3.51
16 Tm 0.3824 0.6176 0.1176  6 In 3.16-3.28, 1 Tm 3.44, 3 Pm 3.51
17 In 0.7000 0.6004 0.9947  6 Tm 3.11-3.31, 1 Pm 3.30, 2 In 3.46
18 In 0.8996 0.0053 0.2000  6 Tm 3.11-3.31, 1 Pm 3.30, 2 In 3.46
19 In 0.9947 0.7000 0.6004  6 Tm 3.11-3.31, 1 Pm 3.30, 2 In 3.46
20 In 0.1004 0.5053 0.3000  6 Tm 3.11-3.31, 1 Pm 3.30, 2 In 3.46
21 In 0.3000 0.1004 0.5053  6 Tm 3.11-3.31, 1 Pm 3.30, 2 In 3.46
22 In 0.2000 0.8996 0.0053  6 Tm 3.11-3.31, 1 Pm 3.30, 2 In 3.46
23 In 0.0053 0.2000 0.8996  6 Tm 3.11-3.31, 1 Pm 3.30, 2 In 3.46
24 In 0.3996 0.4947 0.8000  6 Tm 3.11-3.31, 1 Pm 3.30, 2 In 3.46
25 In 0.5053 0.3000 0.1004  6 Tm 3.11-3.31, 1 Pm 3.30, 2 In 3.46
26 In 0.6004 0.9947 0.7000  6 Tm 3.11-3.31, 1 Pm 3.30, 2 In 3.46
27 In 0.8000 0.3996 0.4947  6 Tm 3.11-3.31, 1 Pm 3.30, 2 In 3.46
28 In 0.4947 0.8000 0.3996  6 Tm 3.11-3.31, 1 Pm 3.30, 2 In 3.46

ρ = 8.31 g/cm3
energy relative to the elements = -0.3077 eV per atom
relative energy among the computed polymorphs = 43 meV/atom
uncorrected energy = -4.08 eV/atom
space group = P2_13 (198)
total magnetic moment = 0.00 μB per formula unit